one | DFT (GGA-PBE) results for crystalline TcGe3B at its relaxed geometry.

abc: 4.788 4.788 4.788
angles: 90.00 90.00 90.00
Positions (direct):
Tc1 0.000 0.000 0.000
Ge1 0.000 0.000 0.500
Ge2 0.000 0.500 0.000
Ge3 0.500 0.000 0.000
B1 0.500 0.500 0.500

two | DFT (GGA-PBE) results for crystalline TcGe3B at its relaxed geometry.

abc: 4.313 4.313 4.313
angles: 90.00 90.00 90.00
Positions (direct):
Tc1 0.000 0.000 0.000
Ge1 0.000 0.500 0.500
Ge2 0.500 0.000 0.500
Ge3 0.500 0.500 0.000
B1 0.500 0.500 0.500

Result of the stability comparison: one is the least stable of them.

one | DFT (GGA-PBE) results for crystalline Tc2GeB at its relaxed geometry.

abc: 4.476 4.476 12.214
angles: 90.00 90.00 120.00
Positions (direct):
Tc1 0.000 0.000 0.163
Tc2 0.000 0.000 0.837
Tc3 0.333 0.667 0.504
Tc4 0.333 0.667 0.829
Tc5 0.667 0.333 0.171
Tc6 0.667 0.333 0.496
Ge1 0.000 0.000 0.500
Ge2 0.333 0.667 0.167
Ge3 0.667 0.333 0.833
B1 0.000 0.000 0.000
B2 0.333 0.667 0.667
B3 0.667 0.333 0.333

two | DFT (GGA-PBE) results for crystalline Tc2GeB at its relaxed geometry.

abc: 6.790 6.790 4.691
angles: 90.00 90.00 90.00
Positions (direct):
Tc1 0.160 0.750 0.125
Tc2 0.250 0.160 0.875
Tc3 0.250 0.340 0.375
Tc4 0.340 0.750 0.625
Tc5 0.660 0.250 0.625
Tc6 0.750 0.660 0.375
Tc7 0.750 0.840 0.875
Tc8 0.840 0.250 0.125
Ge1 0.000 0.000 0.500
Ge2 0.000 0.500 0.750
Ge3 0.500 0.000 0.250
Ge4 0.500 0.500 0.000
B1 0.000 0.000 0.000
B2 0.000 0.500 0.250
B3 0.500 0.000 0.750
B4 0.500 0.500 0.500

Result of the stability comparison: one is the least stable of them.